Density functional theory data (GGA-PBE) for LiDyGe2Os after structural relaxation.

```
LiDyGe2Os
1.0
-2.0724 2.0724 5.2118
2.0724 -2.0724 5.2118
2.0724 2.0724 -5.2118
Li Dy Ge Os
1 1 2 1
Direct
0.0000 0.0000 0.0000 Li
0.7500 0.2500 0.5000 Dy
0.1267 0.6267 0.5000 Ge
0.3733 0.8733 0.5000 Ge
0.5000 0.5000 0.0000 Os
```

- Volume: 17.91 Å³/atom
- Calculated formation energy: -411 meV per atom
- Total moment: 0.000 μB/cell
- Uncorrected energy: -29.0 eV per cell
- SG: No. 119